Here is a relaxed Ba3In2Rh crystal from Alexandria. Energies are from PBE-GGA.

Cell lengths 7.6333, 7.6333, 8.4624 Å; angles 102.83, 102.83, 84.07 degrees
With the nearest neighbours (Å) after each atom.
Atoms (fractional coordinates):
Ba (0.0815, 0.9185, 0.7500)  1 Rh 3.08
Ba (0.2516, 0.4252, 0.0117)  1 Rh 3.02
Ba (0.4252, 0.2516, 0.5117)  1 Rh 3.02
Ba (0.5748, 0.7484, 0.4883)  1 Rh 3.02
Ba (0.7484, 0.5748, 0.9883)  1 Rh 3.02
Ba (0.9185, 0.0815, 0.2500)  1 Rh 3.08
In (0.0573, 0.5716, 0.3792)  1 Rh 2.66, 1 In 2.85
In (0.4284, 0.9427, 0.1208)  1 Rh 2.66, 1 In 2.85
In (0.5716, 0.0573, 0.8792)  1 Rh 2.66, 1 In 2.85
In (0.9427, 0.4284, 0.6208)  1 Rh 2.66, 1 In 2.85
Rh (0.2197, 0.7803, 0.2500)  2 In 2.66
Rh (0.7803, 0.2197, 0.7500)  2 In 2.66

## Properties
Its space-group type is C2/c (15). Its energy relative to the elements is -0.316 eV per atom.



Here is a relaxed BaIn2Rh crystal from Alexandria. Energies are from PBE-GGA.

Cell lengths 5.4322, 5.4322, 5.4322 Å; angles 125.45, 125.45, 80.79 degrees
With the nearest neighbours (Å) after each atom.
Atoms (fractional coordinates):
Ba (0.0000, 0.0000, 0.0000)  8 In 3.24, 4 Rh 3.52
In (0.2500, 0.7500, 0.5000)  4 Rh 3.24, 4 Ba 3.24, 4 In 3.52
In (0.7500, 0.2500, 0.5000)  4 Rh 3.24, 4 Ba 3.24, 4 In 3.52
Rh (0.5000, 0.5000, 0.0000)  8 In 3.24, 4 Ba 3.52

## Properties
Its space-group type is I4/mmm (139). Its energy relative to the elements is -0.045 eV per atom.



Here is a relaxed BaIn2Rh crystal from Alexandria. Energies are from PBE-GGA.

Cell lengths 5.2738, 5.2738, 5.2738 Å; angles 60.00, 60.00, 60.00 degrees
With the nearest neighbours (Å) after each atom.
Atoms (fractional coordinates):
Ba (0.0000, 0.0000, 0.0000)  4 In 3.23, 4 Rh 3.23
In (0.2500, 0.2500, 0.2500)  4 In 3.23, 4 Ba 3.23
In (0.5000, 0.5000, 0.5000)  4 Rh 3.23, 4 In 3.23
Rh (0.7500, 0.7500, 0.7500)  4 In 3.23, 4 Ba 3.23

## Properties
Its space-group type is F-43m (216). Its energy relative to the elements is -0.001 eV per atom.